SrLa2HfBe | GGA-PBE | optimized geometry

Summary:
Crystal system: tetragonal
Calculated formation energy in eV per atom: 1.09
Final energy in eV per atom: -3.9571

a b c (Å): 5.7125 5.7125 6.0771
angles (deg): 90.00 90.00 90.00
Last column: nearest neighbours and their distance in Å.
Space group P4/mmm (No. 123)
Symmetry-distinct sites (fractional):
Sr: 0.0000 0.0000 0.0000  2 Hf 3.04
La: 0.0000 0.5000 0.5000  2 Hf 2.86
Hf: 0.0000 0.0000 0.5000  4 La 2.86, 2 Sr 3.04
Be: 0.5000 0.5000 0.0000  4 Sr 4.04, 8 La 4.17

***

Th2Zn5Cd | GGA-PBE | optimized geometry

Summary:
Crystal system: orthorhombic
Calculated formation energy in eV per atom: -0.23
Final energy in eV per atom: -2.9906

a b c (Å): 4.4530 16.5530 9.0782
angles (deg): 90.00 90.00 90.00
Last column: nearest neighbours and their distance in Å.
Space group Cmcm (No. 63)
Symmetry-distinct sites (fractional):
Th: 0.0000 0.0000 0.0000  6 Zn 3.21-3.39, 4 Cd 3.31
Th: 0.0000 0.2054 0.2500  13 Zn 3.15-3.36, 2 Cd 3.33
Zn: 0.0000 0.1849 0.6079  4 Zn 2.55-2.79
Zn: 0.0000 0.3459 0.5165  4 Zn 2.55-2.79, 1 Cd 2.68
Zn: 0.0000 0.3978 0.2500  2 Zn 2.57, 1 Cd 2.61
Cd: 0.0000 0.4445 0.7500  3 Zn 2.61-2.68

***

LaBe2Se | GGA-PBE | optimized geometry

Summary:
Raw formation energy in eV/atom: -0.34
Crystal system: monoclinic
Final energy in eV per atom: -4.3037

a b c (Å): 7.4989 3.7755 5.7021
angles (deg): 90.00 103.45 90.00
Last column: nearest neighbours and their distance in Å.
Space group Cm (No. 8)
Symmetry-distinct sites (fractional):
La: 0.0000 0.0000 0.0000  5 Be 2.88-3.12, 3 Se 3.16-3.19
Be: 0.1041 0.5000 0.6733  1 Se 2.21, 3 Be 2.32-2.38
Be: 0.2898 0.0000 0.6405  3 Be 2.32-2.38, 2 Se 2.36
Se: 0.2586 0.5000 0.3870  3 Be 2.21-2.36

***

Be3Rh2Au | GGA-PBE | optimized geometry

Summary:
Crystal system: tetragonal
Calculated formation energy in eV per atom: -0.54
Final energy in eV per atom: -5.3998

a b c (Å): 2.8653 2.8653 8.4160
angles (deg): 90.00 90.00 90.00
Last column: nearest neighbours and their distance in Å.
Space group P4/mmm (No. 123)
Symmetry-distinct sites (fractional):
Be: 0.0000 0.0000 0.0000  8 Rh 2.45, 2 Be 2.52
Be: 0.0000 0.0000 0.2990  4 Rh 2.32, 1 Be 2.52
Rh: 0.5000 0.5000 0.1642  8 Be 2.32-2.45
Au: 0.5000 0.5000 0.5000  8 Be 2.64, 2 Rh 2.83, 4 Au 2.87

***

RbAg2Se | GGA-PBE | optimized geometry

Summary:
Raw formation energy in eV/atom: -0.23
Crystal system: tetragonal
Final energy in eV per atom: -2.7716

a b c (Å): 5.5147 5.5147 18.5053
angles (deg): 90.00 90.00 90.00
Last column: nearest neighbours and their distance in Å.
Space group I4_1/amd (No. 141, origin choice 2)
Symmetry-distinct sites (fractional):
Rb: 0.0000 0.2500 0.3750  8 Ag 3.85, 4 Se 3.90
Ag: 0.0000 0.0000 0.0000  2 Se 2.69, 2 Ag 2.76
Se: 0.0000 0.2500 0.8750  4 Ag 2.69

***

ZnSiF2 | GGA-PBE | optimized geometry

Summary:
Raw formation energy in eV/atom: -1.49
Crystal system: trigonal
Excess energy over the best structure of this formula in the dataset in meV per atom: 0
Final energy in eV per atom: -4.1004

a b c (Å): 2.6909 2.6909 24.5987
angles (deg): 90.00 90.00 120.00
Last column: nearest neighbours and their distance in Å.
Space group R-3m (No. 166, hexagonal axes)
Symmetry-distinct sites (fractional):
Zn: 0.0000 0.0000 0.0000  6 Zn 2.69, 6 F 2.87
Si: 0.0000 0.0000 0.5000  2 F 1.69
F: 0.0000 0.0000 0.4313  1 Si 1.69

***

K3SrCe2S6 | GGA-PBE | optimized geometry

Summary:
Raw formation energy in eV/atom: -1.79
Crystal system: monoclinic
Final energy in eV per atom: -5.2602

a b c (Å): 7.3361 12.7094 7.7420
angles (deg): 90.00 108.47 90.00
Last column: nearest neighbours and their distance in Å.
Space group C2/m (No. 12)
Symmetry-distinct sites (fractional):
K: 0.0000 0.0000 0.0000  6 S 3.16-3.32
K: 0.0000 0.3370 0.0000  6 S 3.18-3.33
Sr: 0.0000 0.5000 0.5000  6 S 3.00
Ce: 0.0000 0.1670 0.5000  6 S 2.81-2.82
S: 0.2158 0.0000 0.7059  2 Ce 2.82, 1 Sr 3.00, 1 K 3.16
S: 0.2456 0.3234 0.7057  2 Ce 2.81, 1 Sr 3.00

***

AcMgH | GGA-PBE | optimized geometry

Summary:
Crystal system: tetragonal
Excess energy over the best structure of this formula in the dataset in meV per atom: 265
Final energy in eV per atom: -2.9620

a b c (Å): 3.6429 3.6429 11.8526
angles (deg): 90.00 90.00 90.00
Last column: nearest neighbours and their distance in Å.
Space group I4mm (No. 107)
Symmetry-distinct sites (fractional):
Ac: 0.0000 0.0000 0.0000  4 H 2.58
Mg: 0.0000 0.0000 0.2972  1 H 2.26
H: 0.0000 0.0000 0.4876  1 Mg 2.26

***

- final energy of number 8 (AcMgH)?
  -2.9620 eV per atom

***

- Which of these has the lowest final energy?
  Be3Rh2Au